No. 1
Below is Ba2InHgPb6 after structural relaxation, with properties calculated at the PBE level.

Cell and atoms, written as extended XYZ:
```
20
Lattice="9.085 0.000 0.000 0.000 10.532 0.000 0.000 0.000 7.692" Properties=species:S:1:pos:R:3 pbc="T T T"
Ba 2.271 0.059 1.619
Ba 2.271 5.207 1.619
Ba 6.814 5.325 6.073
Ba 6.814 10.473 6.073
In 2.271 2.633 4.005
In 6.814 7.899 3.686
Hg 2.271 7.899 7.175
Hg 6.814 2.633 0.517
Pb 0.537 2.633 6.816
Pb 0.650 7.899 4.058
Pb 2.271 5.291 5.507
Pb 2.271 10.507 5.507
Pb 3.893 7.899 4.058
Pb 4.006 2.633 6.816
Pb 5.079 7.899 0.876
Pb 5.192 2.633 3.634
Pb 6.814 0.025 2.185
Pb 6.814 5.241 2.185
Pb 8.436 2.633 3.634
Pb 8.548 7.899 0.876
```

Values from the calculation:
Space group: Pmmn (59)
Formation enthalpy at 0 K, eV per atom: -0.200
Density of states at the Fermi level, states/eV per cell: 12.35

=====

No. 2
Below is PuMn2Zn after structural relaxation, with properties calculated at the PBE level.

Cell and atoms, written as extended XYZ:
```
4
Lattice="4.181 0.000 0.000 0.000 4.181 0.000 0.000 0.000 3.469" Properties=species:S:1:pos:R:3 pbc="T T T"
Pu 0.000 0.000 0.000
Mn 0.000 2.091 1.735
Mn 2.091 0.000 1.735
Zn 2.091 2.091 0.000
```

Values from the calculation:
Space group: P4/mmm (123)
Formation enthalpy at 0 K, eV per atom: 0.004
Density of states at the Fermi level, states/eV per cell: 4.94

=====

No. 3
Below is ReSiAg after structural relaxation, with properties calculated at the PBE level.

Cell and atoms, written as extended XYZ:
```
3
Lattice="2.890 0.000 0.000 -1.445 2.503 0.000 0.000 0.000 6.469" Properties=species:S:1:pos:R:3 pbc="T T T"
Re 0.000 0.000 0.000
Si 1.445 0.834 1.800
Ag 0.000 1.668 4.023
```

Values from the calculation:
Excess energy over the best structure of this formula in the dataset, meV per atom: 0.0
Space group: P3m1 (156)
Formation energy from raw total energies, kJ/mol of atoms: 27.8
Density of states at the Fermi level, states/eV per cell: 0.48

=====

No. 4
Below is Ba3PbAu3 after structural relaxation, with properties calculated at the PBE level.

Cell and atoms, written as extended XYZ:
```
14
Lattice="6.404 -2.356 0.000 6.404 2.356 0.000 -5.492 0.000 15.750" Properties=species:S:1:pos:R:3 pbc="T T T"
Ba -1.868 0.000 5.983
Ba -3.728 0.000 14.573
Ba 1.720 0.000 3.622
Ba 5.597 0.000 12.128
Ba 11.044 0.000 1.178
Ba 9.184 0.000 9.768
Pb 0.090 0.000 9.274
Pb 7.227 0.000 6.476
Au 2.348 0.000 7.242
Au -0.051 0.000 14.531
Au 1.938 0.000 12.231
Au 5.378 0.000 3.519
Au 7.367 0.000 1.220
Au 4.969 0.000 8.508
```

Values from the calculation:
Space group: C2/m (12)
Formation enthalpy at 0 K, eV per atom: -0.632
Density of states at the Fermi level, states/eV per cell: 7.57

=====

No. 5
Below is Pm12YTm3 after structural relaxation, with properties calculated at the PBE level.

Cell and atoms, written as extended XYZ:
```
16
Lattice="5.116 0.000 0.000 0.000 5.116 0.000 0.000 0.000 20.406" Properties=species:S:1:pos:R:3 pbc="T T T"
Pm 0.000 0.000 0.000
Pm 0.000 0.000 5.082
Pm 0.000 0.000 10.203
Pm 0.000 0.000 15.323
Pm 0.000 2.558 2.543
Pm 0.000 2.558 7.628
Pm 0.000 2.558 12.778
Pm 0.000 2.558 17.863
Pm 2.558 0.000 2.543
Pm 2.558 0.000 7.628
Pm 2.558 0.000 12.778
Pm 2.558 0.000 17.863
Y 2.558 2.558 10.203
Tm 2.558 2.558 0.000
Tm 2.558 2.558 5.086
Tm 2.558 2.558 15.320
```

Values from the calculation:
Space group: P4/mmm (123)
Formation enthalpy at 0 K, eV per atom: 0.015
Density of states at the Fermi level, states/eV per cell: 23.76

=====

No. 6
Below is Sc2GeAs after structural relaxation, with properties calculated at the PBE level.

Cell and atoms, written as extended XYZ:
```
8
Lattice="-3.624 3.624 3.183 3.624 -3.624 3.183 3.624 3.624 -3.183" Properties=species:S:1:pos:R:3 pbc="T T T"
Sc 1.812 1.777 -0.796
Sc 1.847 -1.812 3.978
Sc 1.812 1.847 2.387
Sc 1.777 5.436 0.796
Ge 3.624 0.000 1.591
Ge 0.000 0.000 3.183
As 0.000 0.000 0.000
As 0.000 3.624 1.591
```

Values from the calculation:
Excess energy over the best structure of this formula in the dataset, meV per atom: 410.7
Space group: I-42d (122)
Formation enthalpy at 0 K, eV per atom: -0.685
Density of states at the Fermi level, states/eV per cell: 2.76

=====

No. 7
Below is Tb6In3Ru after structural relaxation, with properties calculated at the PBE level.

Cell and atoms, written as extended XYZ:
```
20
Lattice="9.286 0.000 0.000 0.000 5.292 0.000 -3.473 0.000 10.843" Properties=species:S:1:pos:R:3 pbc="T T T"
Tb -1.043 1.323 4.513
Tb 1.216 3.969 1.814
Tb 2.621 1.323 0.041
Tb 0.373 3.969 8.995
Tb 2.295 1.323 3.758
Tb 1.402 1.323 7.031
Tb 4.411 3.969 3.812
Tb 3.518 3.969 7.085
Tb 5.440 1.323 1.848
Tb 3.193 3.969 10.802
Tb 4.598 1.323 9.029
Tb 6.856 3.969 6.330
In -2.953 3.969 9.538
In -1.644 1.323 7.801
In 0.883 3.969 5.165
In 4.930 1.323 5.678
In 7.457 3.969 3.041
In 8.767 1.323 1.304
Ru 3.969 3.969 1.015
Ru 1.844 1.323 9.828
```

Values from the calculation:
Excess energy over the best structure of this formula in the dataset, meV per atom: 0.0
Space group: P2_1/m (11)
Formation enthalpy at 0 K, eV per atom: -0.366
Density of states at the Fermi level, states/eV per cell: 16.08

=====

No. 8
Below is CaYAgPb after structural relaxation, with properties calculated at the PBE level.

Cell and atoms, written as extended XYZ:
```
4
Lattice="0.000 3.771 3.771 3.771 0.000 3.771 3.771 3.771 0.000" Properties=species:S:1:pos:R:3 pbc="T T T"
Ca 0.000 0.000 0.000
Y 3.771 3.771 3.771
Ag 1.886 1.886 1.886
Pb 5.657 5.657 5.657
```

Values from the calculation:
Space group: F-43m (216)
Formation enthalpy at 0 K, eV per atom: -0.457
Density of states at the Fermi level, states/eV per cell: 1.86

=====

No. 9
Below is Nd2SmNi after structural relaxation, with properties calculated at the PBE level.

Cell and atoms, written as extended XYZ:
```
4
Lattice="1.936 1.118 9.282 -1.936 1.118 9.282 0.000 -2.235 9.282" Properties=species:S:1:pos:R:3 pbc="T T T"
Nd 0.000 0.000 0.000
Nd 0.000 0.000 5.924
Sm 0.000 0.000 21.512
Ni 0.000 0.000 16.896
```

Values from the calculation:
Excess energy over the best structure of this formula in the dataset, meV per atom: 134.0
Space group: R3m (160)
Formation enthalpy at 0 K, eV per atom: -0.043
Density of states at the Fermi level, states/eV per cell: 4.66

=====

No. 10
Below is GdAl2Mo after structural relaxation, with properties calculated at the PBE level.

Cell and atoms, written as extended XYZ:
```
4
Lattice="1.507 0.870 9.730 -1.507 0.870 9.730 0.000 -1.740 9.730" Properties=species:S:1:pos:R:3 pbc="T T T"
Gd 0.000 0.000 0.000
Al 0.000 0.000 6.986
Al 0.000 0.000 22.202
Mo 0.000 0.000 14.594
```

Values from the calculation:
Space group: R-3m (166)
Formation enthalpy at 0 K, eV per atom: 0.078
Density of states at the Fermi level, states/eV per cell: 2.45

=====

No. 11
Below is TaAg2S4 after structural relaxation, with properties calculated at the PBE level.

Cell and atoms, written as extended XYZ:
```
7
Lattice="6.060 0.000 0.000 0.000 6.060 0.000 0.000 0.000 5.503" Properties=species:S:1:pos:R:3 pbc="T T T"
Ta 0.000 0.000 0.000
Ag 0.000 3.030 0.000
Ag 3.030 0.000 0.000
S 1.323 1.323 1.351
S 1.323 4.737 4.153
S 4.737 1.323 4.153
S 4.737 4.737 1.351
```

Values from the calculation:
Space group: P-42m (111)
Formation energy from raw total energies, kJ/mol of atoms: -40.2
Density of states at the Fermi level, states/eV per cell: 7.12

=====

No. 12
Below is CsKCaI4 after structural relaxation, with properties calculated at the PBE level.

Cell and atoms, written as extended XYZ:
```
7
Lattice="-3.084 3.084 9.358 3.084 -3.084 9.358 3.084 3.084 -9.358" Properties=species:S:1:pos:R:3 pbc="T T T"
Cs 0.000 0.000 0.000
K 0.000 0.000 13.507
Ca 0.000 0.000 6.785
I 0.000 0.000 3.695
I 3.084 0.000 6.677
I 0.000 0.000 9.924
I 0.000 3.084 6.677
```

Values from the calculation:
Space group: I4mm (107)
Formation energy from raw total energies, kJ/mol of atoms: -147.4
Density of states at the Fermi level, states/eV per cell: 0.00

=====

No. 13
Below is TmNp2Tl3Se6 after structural relaxation, with properties calculated at the PBE level.

Cell and atoms, written as extended XYZ:
```
12
Lattice="3.634 -6.292 0.000 3.634 6.292 0.000 -2.421 0.000 7.776" Properties=species:S:1:pos:R:3 pbc="T T T"
Tm 0.000 0.000 0.000
Np 3.634 2.096 0.000
Np 3.634 -2.096 0.000
Tl 2.424 4.182 3.888
Tl 2.424 0.000 3.888
Tl 2.424 -4.182 3.888
Se 1.195 2.068 1.575
Se -0.032 0.000 6.192
Se 1.195 -2.068 1.575
Se 3.653 2.068 6.201
Se 4.880 0.000 1.584
Se 3.653 -2.068 6.201
```

Values from the calculation:
Space group: C2/m (12)
Formation energy from raw total energies, kJ/mol of atoms: -101.0
Density of states at the Fermi level, states/eV per cell: 21.99

=====

No. 14
Below is SnOs4W2 after structural relaxation, with properties calculated at the PBE level.

Cell and atoms, written as extended XYZ:
```
7
Lattice="-2.394 2.394 6.393 2.394 -2.394 6.393 2.394 2.394 -6.393" Properties=species:S:1:pos:R:3 pbc="T T T"
Sn 0.000 0.000 0.000
Os 2.394 0.000 0.000
Os 0.000 0.000 2.724
Os 0.000 2.394 0.000
Os 0.000 0.000 10.061
W 0.000 0.000 5.004
W 0.000 0.000 7.781
```

Values from the calculation:
Space group: I4/mmm (139)
Formation enthalpy at 0 K, eV per atom: 2.204
Density of states at the Fermi level, states/eV per cell: 9.31

=====

No. 15
Below is Sm2Cd2Pd15 after structural relaxation, with properties calculated at the PBE level.

Cell and atoms, written as extended XYZ:
```
19
Lattice="4.590 2.650 4.622 -4.590 2.650 4.622 0.000 -5.300 4.622" Properties=species:S:1:pos:R:3 pbc="T T T"
Sm 0.000 0.000 2.086
Sm 0.000 0.000 11.780
Cd 0.000 0.000 5.553
Cd 0.000 0.000 8.313
Pd -2.295 -1.325 4.622
Pd 0.000 -2.691 4.460
Pd -2.331 1.346 4.460
Pd -1.425 -2.469 6.933
Pd -2.851 0.000 6.933
Pd -2.331 -1.346 9.406
Pd -2.295 1.325 9.244
Pd 1.425 -2.469 6.933
Pd 0.000 2.650 4.622
Pd -1.425 2.469 6.933
Pd 2.331 1.346 4.460
Pd 2.851 0.000 6.933
Pd 1.425 2.469 6.933
Pd 2.331 -1.346 9.406
Pd 0.000 2.691 9.406
```

Values from the calculation:
Space group: R-3m (166)
Formation enthalpy at 0 K, eV per atom: -0.385
Density of states at the Fermi level, states/eV per cell: 19.86

=====

No. 16
Below is UB4Os after structural relaxation, with properties calculated at the PBE level.

Cell and atoms, written as extended XYZ:
```
12
Lattice="3.665 -4.709 0.000 3.665 4.709 0.000 0.000 0.000 3.542" Properties=species:S:1:pos:R:3 pbc="T T T"
U 3.665 2.825 0.000
U 3.665 -2.825 0.000
B 2.023 1.507 1.771
B 0.874 0.000 1.771
B 3.665 0.877 1.771
B 2.023 -1.507 1.771
B 5.307 1.507 1.771
B 3.665 -0.877 1.771
B 6.456 0.000 1.771
B 5.307 -1.507 1.771
Os 2.282 0.000 0.000
Os 5.049 0.000 0.000
```

Values from the calculation:
Space group: Cmmm (65)
Formation enthalpy at 0 K, eV per atom: -0.491
Density of states at the Fermi level, states/eV per cell: 9.23

=====

No. 17
Below is Nb3PtN after structural relaxation, with properties calculated at the PBE level.

Cell and atoms, written as extended XYZ:
```
10
Lattice="4.718 -2.170 0.000 4.718 2.170 0.000 -3.636 0.000 7.335" Properties=species:S:1:pos:R:3 pbc="T T T"
Nb -0.409 0.000 3.157
Nb 0.415 0.000 6.085
Nb 2.401 0.000 2.200
Nb 3.400 0.000 5.135
Nb 5.386 0.000 1.250
Nb 6.210 0.000 4.178
Pt -2.250 0.000 6.874
Pt 8.051 0.000 0.461
N 1.475 0.000 4.179
N 4.326 0.000 3.156
```

Values from the calculation:
Space group: C2/m (12)
Formation energy from raw total energies, kJ/mol of atoms: -68.5
Density of states at the Fermi level, states/eV per cell: 6.91

=====

No. 18
Below is Nd2NiB2Rh5 after structural relaxation, with properties calculated at the PBE level.

Cell and atoms, written as extended XYZ:
```
20
Lattice="9.607 0.000 0.000 0.000 9.607 0.000 0.000 0.000 3.244" Properties=species:S:1:pos:R:3 pbc="T T T"
Nd 1.705 3.099 0.000
Nd 3.099 7.903 0.000
Nd 6.508 1.705 0.000
Nd 7.903 6.508 0.000
Ni 0.000 0.000 0.000
Ni 4.804 4.804 0.000
B 1.178 5.982 0.000
B 3.626 1.178 0.000
B 5.982 8.429 0.000
B 8.429 3.626 0.000
Rh 0.000 4.804 1.622
Rh 0.663 7.472 1.622
Rh 2.136 0.663 1.622
Rh 2.668 5.466 1.622
Rh 4.141 2.668 1.622
Rh 4.804 0.000 1.622
Rh 5.466 6.939 1.622
Rh 6.939 4.141 1.622
Rh 7.472 8.945 1.622
Rh 8.945 2.136 1.622
```

Values from the calculation:
Space group: P4/mbm (127)
Formation enthalpy at 0 K, eV per atom: -0.476
Density of states at the Fermi level, states/eV per cell: 16.41

=====

No. 19
Below is Ba2TbEu after structural relaxation, with properties calculated at the PBE level.

Cell and atoms, written as extended XYZ:
```
4
Lattice="4.384 0.000 0.000 0.000 4.384 0.000 0.000 0.000 10.118" Properties=species:S:1:pos:R:3 pbc="T T T"
Ba 0.000 0.000 2.293
Ba 0.000 0.000 7.825
Tb 2.192 2.192 0.000
Eu 2.192 2.192 5.059
```

Values from the calculation:
Space group: P4/mmm (123)
Formation enthalpy at 0 K, eV per atom: 0.198
Density of states at the Fermi level, states/eV per cell: 14.44

=====

No. 20
Below is Ac2AgS4 after structural relaxation, with properties calculated at the PBE level.

Cell and atoms, written as extended XYZ:
```
14
Lattice="7.252 0.000 0.000 0.000 5.866 0.000 -2.574 0.000 8.255" Properties=species:S:1:pos:R:3 pbc="T T T"
Ac 0.538 1.467 3.588
Ac -0.656 1.467 7.695
Ac 5.335 4.400 0.560
Ac 4.141 4.400 4.667
Ag 1.333 4.400 1.534
Ag 3.346 1.467 6.721
S -0.546 4.400 3.215
S -1.838 4.400 7.357
S 1.529 3.060 6.110
S 1.529 5.739 6.110
S 3.150 0.127 2.145
S 3.150 2.806 2.145
S 6.517 1.467 0.898
S 5.225 1.467 5.039
```

Values from the calculation:
Space group: P2_1/m (11)
Formation energy from raw total energies, kJ/mol of atoms: -147.1
Density of states at the Fermi level, states/eV per cell: 3.80

=====

No. 21
Below is La3Pr6Ho after structural relaxation, with properties calculated at the PBE level.

Cell and atoms, written as extended XYZ:
```
10
Lattice="6.139 -3.487 0.000 6.139 3.487 0.000 -2.768 0.000 8.587" Properties=species:S:1:pos:R:3 pbc="T T T"
La 0.000 0.000 0.000
La 5.324 0.000 1.529
La 4.185 0.000 7.058
Pr 0.811 1.559 7.038
Pr 2.324 0.000 4.204
Pr 0.811 -1.559 7.038
Pr 8.697 1.559 1.549
Pr 7.185 0.000 4.383
Pr 8.697 -1.559 1.549
Ho -1.384 0.000 4.294
```

Values from the calculation:
Excess energy over the best structure of this formula in the dataset, meV per atom: 84.8
Space group: C2/m (12)
Formation enthalpy at 0 K, eV per atom: 0.247
Density of states at the Fermi level, states/eV per cell: 16.05

=====

No. 22
Below is Zr2WAu after structural relaxation, with properties calculated at the PBE level.

Cell and atoms, written as extended XYZ:
```
4
Lattice="1.842 -2.221 0.000 1.842 2.221 0.000 0.000 0.000 9.527" Properties=species:S:1:pos:R:3 pbc="T T T"
Zr 0.000 0.000 0.000
Zr 1.842 0.000 2.769
W 0.000 0.000 5.060
Au 1.842 0.000 7.204
```

Values from the calculation:
Excess energy over the best structure of this formula in the dataset, meV per atom: 368.3
Space group: Cmm2 (35)
Formation enthalpy at 0 K, eV per atom: 0.126
Density of states at the Fermi level, states/eV per cell: 4.95

=====

The records above give, respectively, theoretical density values of 8.27, 11.48, 11.43, 8.46, 7.26, 4.72, 8.72, 6.87, 6.86, 6.67, 4.31, 3.36, 8.08, 14.13, 10.44, 12.81, 10.78, 9.80, 5.00, 6.53, 6.45, 11.99 g/cm³.